1.
Below is a relaxed structure of Al2SbPbCl, with properties calculated at the GGA-PBE level.

a = 5.5218 Å, b = 5.5218 Å, c = 5.2719 Å
α = 90.00°, β = 90.00°, γ = 90.00°
Fractional positions:
Al1 0.0000 0.5000 0.0000
Al2 0.5000 0.0000 0.0000
Sb1 0.0000 0.0000 0.5000
Pb1 0.5000 0.5000 0.0000
Cl1 0.5000 0.5000 0.5000

Summary:
Space-group type = No. 123
Energy = -2.877 eV/atom
Energy relative to the elements, uncorrected = 556 meV per atom
Volume = 160.7 Å³ per cell

***

2.
Below is a relaxed structure of Sc2AlPbCl, with properties calculated at the GGA-PBE level.

a = 4.7814 Å, b = 4.7814 Å, c = 5.5412 Å
α = 90.00°, β = 90.00°, γ = 90.00°
Fractional positions:
Sc1 0.0000 0.5000 0.0000
Sc2 0.5000 0.0000 0.0000
Al1 0.0000 0.0000 0.5000
Pb1 0.5000 0.5000 0.5000
Cl1 0.5000 0.5000 0.0000

Summary:
Space-group type = No. 123
Energy = -4.398 eV/atom
Energy relative to the elements, uncorrected = -6 meV per atom
Volume = 126.7 Å³ per cell

***

3.
Below is a relaxed structure of AlPd2Cl, with properties calculated at the GGA-PBE level.

a = 4.4868 Å, b = 4.4868 Å, c = 4.4868 Å
α = 60.00°, β = 60.00°, γ = 60.00°
Fractional positions:
Al1 0.0000 0.0000 0.0000
Pd1 0.2500 0.2500 0.2500
Pd2 0.7500 0.7500 0.7500
Cl1 0.5000 0.5000 0.5000

Summary:
Space-group type = No. 225
Energy relative to the lowest polymorph listed for this composition = 0 meV/atom
Energy = -4.206 eV/atom
Energy relative to the elements, uncorrected = -212 meV per atom
Volume = 63.9 Å³ per cell

***

4.
Below is a relaxed structure of AlPd3Cl, with properties calculated at the GGA-PBE level.

a = 4.6030 Å, b = 4.6030 Å, c = 4.6030 Å
α = 90.00°, β = 90.00°, γ = 90.00°
Fractional positions:
Al1 0.0000 0.0000 0.0000
Pd1 0.0000 0.5000 0.5000
Pd2 0.5000 0.0000 0.5000
Pd3 0.5000 0.5000 0.0000
Cl1 0.5000 0.5000 0.5000

Summary:
Space-group type = No. 221
Energy relative to the lowest polymorph listed for this composition = 186 meV/atom
Energy = -3.820 eV/atom
Energy relative to the elements, uncorrected = 414 meV per atom
Volume = 97.5 Å³ per cell

***

5.
Below is a relaxed structure of Al2PdCl8, with properties calculated at the GGA-PBE level.

a = 6.7794 Å, b = 7.6547 Å, c = 14.4453 Å
α = 90.00°, β = 99.31°, γ = 90.00°
Fractional positions:
Al1 0.1611 0.2328 0.3967
Al2 0.1611 0.2672 0.8967
Al3 0.8389 0.7328 0.1033
Al4 0.8389 0.7672 0.6033
Pd1 0.5000 0.0000 0.0000
Pd2 0.5000 0.5000 0.5000
Cl1 0.1407 0.7267 0.0840
Cl2 0.1407 0.7733 0.5840
Cl3 0.2467 0.0468 0.3037
Cl4 0.2467 0.4532 0.8037
Cl5 0.2623 0.5008 0.3627
Cl6 0.2623 0.9992 0.8627
Cl7 0.3630 0.2323 0.5360
Cl8 0.3630 0.2677 0.0360
Cl9 0.6370 0.7323 0.9640
Cl10 0.6370 0.7677 0.4640
Cl11 0.7377 0.0008 0.1373
Cl12 0.7377 0.4992 0.6373
Cl13 0.7533 0.5468 0.1963
Cl14 0.7533 0.9532 0.6963
Cl15 0.8593 0.2267 0.4160
Cl16 0.8593 0.2733 0.9160

Summary:
Space-group type = No. 14
Energy = -3.724 eV/atom
Energy relative to the elements, uncorrected = -1228 meV per atom
Volume = 739.8 Å³ per cell

***

6.
Below is a relaxed structure of AlPdCl2, with properties calculated at the GGA-PBE level.

a = 8.5278 Å, b = 8.5278 Å, c = 8.5278 Å
α = 22.63°, β = 22.63°, γ = 22.63°
Fractional positions:
Al1 0.0000 0.0000 0.0000
Pd1 0.5000 0.5000 0.5000
Cl1 0.0913 0.0913 0.0913
Cl2 0.9087 0.9087 0.9087

Summary:
Space-group type = No. 166
Energy relative to the lowest polymorph listed for this composition = 118 meV/atom
Energy = -3.253 eV/atom
Energy relative to the elements, uncorrected = -96 meV per atom
Volume = 80.6 Å³ per cell

***

Q: What is the volume in the fifth record?
A: 739.8 Å³ per cell

***

Repeat the sixth record exactly.
Below is a relaxed structure of AlPdCl2, with properties calculated at the GGA-PBE level.

a = 8.5278 Å, b = 8.5278 Å, c = 8.5278 Å
α = 22.63°, β = 22.63°, γ = 22.63°
Fractional positions:
Al1 0.0000 0.0000 0.0000
Pd1 0.5000 0.5000 0.5000
Cl1 0.0913 0.0913 0.0913
Cl2 0.9087 0.9087 0.9087

Summary:
Space-group type = No. 166
Energy relative to the lowest polymorph listed for this composition = 118 meV/atom
Energy = -3.253 eV/atom
Energy relative to the elements, uncorrected = -96 meV per atom
Volume = 80.6 Å³ per cell

***

Q: Among the records above, which one has the highest volume?
A: Al2PdCl8

***

Q: Which formula does entry 1 have?
A: Al2SbPbCl